Below is crystalline Lu2NbH at its relaxed geometry, with properties calculated at the PBE-GGA level.

Density = 9.79 g/cm3
VASP energy = -21.25 eV per cell

Cell lengths 8.754, 8.754, 8.754 Å; angles 20.98, 20.98, 20.98 degrees
Element x y z (fractional)
Lu (0.113, 0.113, 0.113)
Lu (0.887, 0.887, 0.887)
Nb (0.000, 0.000, 0.000)
H (0.500, 0.500, 0.500)